Crystalline Zn3FeMo at its relaxed geometry. Source: Alexandria via LeMat-Bulk, functional PBE.

Cell and atoms, written as CIF:
```
data_Zn3FeMo
_symmetry_space_group_name_H-M 'P 1'
_symmetry_Int_Tables_number 1
_symmetry_space_group_name_Hall 'P 1'
_cell_length_a 4.448
_cell_length_b 4.448
_cell_length_c 4.448
_cell_angle_alpha 90.00
_cell_angle_beta 90.00
_cell_angle_gamma 90.00
loop_
_atom_site_label
_atom_site_fract_x
_atom_site_fract_y
_atom_site_fract_z
Zn1 0.500 0.000 0.000
Zn2 0.000 0.500 0.000
Zn3 0.000 0.000 0.500
Fe1 0.000 0.000 0.000
Mo1 0.500 0.500 0.500
```

Computed properties:
Energy above the most stable polymorph in this dataset in meV per atom: 0
Formation energy from the elements in eV/atom: 1.052
Raw total energy in eV/atom: -3.57
ρ in g cm⁻³: 6.56